# 1
! PBE-GGA Na2Tl2Br7, relaxed; values from VASP
! - Mass density: 3847 kg/m³
! - Raw total energy: -2.585 eV/atom
! - Space-group type: C2/c (15)
! - Total magnetic moment: 0.00 μB per cell
&SYSTEM
  ibrav = 0, nat = 22, ntyp = 3
/
ATOMIC_SPECIES
Na 22.99 Na.upf
Tl 204.38 Tl.upf
Br 79.90 Br.upf
CELL_PARAMETERS angstrom
7.928 -0.564 -1.388
-1.922 7.712 -1.388
0.806 0.959 14.207
ATOMIC_POSITIONS crystal
Na 0.321 0.708 0.493
Na 0.292 0.679 0.007
Na 0.708 0.321 0.993
Na 0.679 0.292 0.507
Tl 0.253 0.258 0.193
Tl 0.258 0.253 0.693
Tl 0.742 0.747 0.307
Tl 0.747 0.742 0.807
Br 0.929 0.598 0.427
Br 0.057 0.458 0.124
Br 0.429 0.428 0.374
Br 0.022 0.978 0.250
Br 0.598 0.929 0.927
Br 0.458 0.057 0.624
Br 0.428 0.429 0.874
Br 0.572 0.571 0.126
Br 0.542 0.943 0.376
Br 0.402 0.071 0.073
Br 0.978 0.022 0.750
Br 0.571 0.572 0.626
Br 0.943 0.542 0.876
Br 0.071 0.402 0.573

# 2
! PBE-GGA HfNi2PtSe, relaxed; values from VASP
! - Mass density: 10670 kg/m³
! - Raw total energy: -6.003 eV/atom
! - Space-group type: P4/mmm (123)
! - Total magnetic moment: 0.00 μB per cell
&SYSTEM
  ibrav = 0, nat = 5, ntyp = 4
/
ATOMIC_SPECIES
Ni 58.69 Ni.upf
Hf 178.49 Hf.upf
Se 78.96 Se.upf
Pt 195.08 Pt.upf
CELL_PARAMETERS angstrom
4.262 0.000 0.000
0.000 4.882 0.000
0.000 0.000 4.262
ATOMIC_POSITIONS crystal
Ni 0.000 0.000 0.500
Ni 0.500 0.000 0.000
Hf 0.500 0.500 0.500
Se 0.000 0.000 0.000
Pt 0.000 0.500 0.000

# 3
! PBE-GGA Cs6Au2I3O, relaxed; values from VASP
! - Mass density: 4200 kg/m³
! - Raw total energy: -2.723 eV/atom
! - Space-group type: C2/m (12)
! - Total magnetic moment: 1.09 μB per cell
&SYSTEM
  ibrav = 0, nat = 12, ntyp = 4
/
ATOMIC_SPECIES
Cs 132.91 Cs.upf
Au 196.97 Au.upf
I 126.90 I.upf
O 16.00 O.upf
CELL_PARAMETERS angstrom
-7.849 2.381 -4.177
6.741 -4.018 -4.810
-2.921 -7.139 4.841
ATOMIC_POSITIONS crystal
Cs 0.927 0.612 0.778
Cs 0.761 0.761 0.224
Cs 0.073 0.388 0.222
Cs 0.612 0.927 0.778
Cs 0.239 0.239 0.776
Cs 0.388 0.073 0.222
Au 0.334 0.666 0.000
Au 0.666 0.334 0.000
I 0.171 0.829 0.500
I 0.829 0.171 0.500
I 0.500 0.500 0.500
O 0.000 0.000 0.000

# 4
! PBE-GGA La2Sm3YEr6, relaxed; values from VASP
! - Mass density: 7783 kg/m³
! - Space-group type: C2/m (12)
! - DFT formation energy: 0.019 eV per atom
! - Total magnetic moment: 0.00 μB per cell
&SYSTEM
  ibrav = 0, nat = 12, ntyp = 4
/
ATOMIC_SPECIES
La 138.91 La.upf
Sm 150.36 Sm.upf
Y 88.91 Y.upf
Er 167.26 Er.upf
CELL_PARAMETERS angstrom
-2.625 5.051 2.498
-3.054 -5.414 0.007
6.591 -2.519 9.450
ATOMIC_POSITIONS crystal
La 0.334 0.666 0.000
La 0.666 0.334 0.000
Sm 0.167 0.833 0.500
Sm 0.833 0.167 0.500
Sm 0.500 0.500 0.500
Y 0.000 0.000 0.000
Er 0.915 0.583 0.748
Er 0.752 0.752 0.253
Er 0.085 0.417 0.252
Er 0.583 0.915 0.748
Er 0.248 0.248 0.747
Er 0.417 0.085 0.252

# 5
! PBE-GGA AcNd2Sm, relaxed; values from VASP
! - Mass density: 7408 kg/m³
! - Space-group type: Fm-3m (225)
! - DFT formation energy: 0.150 eV per atom
! - Offset from the most stable computed form: 123 meV/atom
! - Total magnetic moment: 0.40 μB per cell
&SYSTEM
  ibrav = 0, nat = 4, ntyp = 3
/
ATOMIC_SPECIES
Ac 227.00 Ac.upf
Nd 144.24 Nd.upf
Sm 150.36 Sm.upf
CELL_PARAMETERS angstrom
-1.121 2.683 5.196
-4.596 -1.781 3.339
0.978 -2.889 5.114
ATOMIC_POSITIONS crystal
Ac 0.000 0.000 0.000
Nd 0.250 0.250 0.250
Nd 0.750 0.750 0.750
Sm 0.500 0.500 0.500

# 6
! PBE-GGA TiAlS4, relaxed; values from VASP
! - Mass density: 2546 kg/m³
! - Raw total energy: -5.488 eV/atom
! - Space-group type: C2/m (12)
! - Total magnetic moment: 0.49 μB per cell
&SYSTEM
  ibrav = 0, nat = 12, ntyp = 3
/
ATOMIC_SPECIES
Ti 47.87 Ti.upf
Al 26.98 Al.upf
S 32.06 S.upf
CELL_PARAMETERS angstrom
-0.445 2.961 3.723
4.977 -5.720 2.079
4.246 5.301 -3.709
ATOMIC_POSITIONS crystal
Ti 0.203 0.406 0.289
Ti 0.797 0.594 0.711
Al 0.105 0.211 0.678
Al 0.895 0.789 0.322
S 0.061 0.121 0.365
S 0.138 0.276 0.995
S 0.735 0.469 0.337
S 0.632 0.263 0.703
S 0.368 0.737 0.297
S 0.265 0.531 0.663
S 0.862 0.724 0.005
S 0.939 0.879 0.635